Computed, not measured: a relaxed DyMnMoO6 crystal at the PBE with a Hubbard U level of DFT.

extended XYZ file:
```
9
Lattice="5.401 0.000 0.000 -2.700 4.677 0.000 0.000 0.000 4.444" Properties=species:S:1:pos:R:3 pbc="T T T"
Dy 0.000 0.000 0.000
Mn 2.700 1.559 2.222
Mo 0.000 3.118 0.000
O -0.889 1.749 1.081
O -1.630 3.032 3.363
O 0.889 1.749 3.363
O -0.741 4.573 1.081
O 1.630 3.032 1.081
O 0.741 4.573 3.363
```

Calculated values
The calculation puts the calculated density at 6.1 Mg/m³. Its space group is P312 (149). The value obtained for the calculated total energy is -66.41 eV for the cell shown. The total magnetic moment is 3.99 Bohr magnetons per cell.